CoReNO2: optimized geometry, GGA+U.

```
data_CoReNO2
_chemical_formula_sum 'Co1 Re1 N1 O2'
_symmetry_space_group_name_H-M 'P 1'
_symmetry_Int_Tables_number 1
_symmetry_space_group_name_Hall 'P 1'
_cell_length_a 3.8500
_cell_length_b 3.8500
_cell_length_c 3.9395
_cell_angle_alpha 90.00
_cell_angle_beta 90.00
_cell_angle_gamma 90.00
loop_
_atom_site_label
_atom_site_type_symbol
_atom_site_fract_x
_atom_site_fract_y
_atom_site_fract_z
Re1 Re 0.0000 0.0000 0.0000
O1 O 0.5000 0.0000 0.0000
O2 O 0.0000 0.5000 0.0000
Co1 Co 0.5000 0.5000 0.5000
N1 N 0.0000 0.0000 0.5000
```

## Properties
energy = -0.2718 Ha/atom
symmetry = No. 123
calculated density = 8.28 g/cm3